! PBE Mg2ScOs, optimized geometry; values from VASP
&SYSTEM
  ibrav = 0, nat = 4, ntyp = 3
/
ATOMIC_SPECIES
Mg 24.30 Mg.upf
Sc 44.96 Sc.upf
Os 190.23 Os.upf
ATOMIC_POSITIONS crystal
Mg 0.000 0.500 0.000
Mg 0.500 0.000 0.000
Sc 0.000 0.000 0.500
Os 0.500 0.500 0.500
CELL_PARAMETERS angstrom
2.731 -4.935 0.000
2.731 4.935 0.000
-1.134 0.000 2.702
! density of states at the Fermi level = 0.905 states/eV per atom
! energy relative to the elements = 0.14 eV per atom
! final energy = -20.2 eV per cell
! ΔE to the lowest computed polymorph = 234 meV per atom